No. 1
DFT (PBE-GGA) results for crystalline TeRuNF2 at its relaxed geometry.

Lattice parameters (Å, degrees): 4.4200 4.4200 3.7448 90.00 90.00 90.00
Positions (direct):
1 Te 0.0000 0.0000 0.0000
2 Ru 0.5000 0.5000 0.5000
3 N 0.5000 0.5000 0.0000
4 F 0.0000 0.5000 0.5000
5 F 0.5000 0.0000 0.5000

Results
space group	P4/mmm (123)
E_form (uncorrected)	-99	meV/atom
VASP energy	-4.996	eV per atom
distance to the lowest polymorph of the same formula	0.0	kJ/mol of atoms
DOS at the Fermi energy	3.3	states/eV/f.u.

No. 2
DFT (PBE-GGA) results for crystalline TeRuN2F at its relaxed geometry.

Lattice parameters (Å, degrees): 3.7416 3.7416 5.6818 90.00 90.00 90.00
Positions (direct):
1 Te 0.0000 0.0000 0.0000
2 Ru 0.0000 0.0000 0.5000
3 N 0.0000 0.5000 0.5000
4 N 0.5000 0.0000 0.5000
5 F 0.5000 0.5000 0.0000

Results
space group	P4/mmm (123)
E_form (uncorrected)	418	meV/atom
VASP energy	-5.770	eV per atom
distance to the lowest polymorph of the same formula	0.0	kJ/mol of atoms
DOS at the Fermi energy	2.0	states/eV/f.u.

No. 3
DFT (PBE-GGA) results for crystalline TeRuN2F at its relaxed geometry.

Lattice parameters (Å, degrees): 4.0057 4.0057 4.1742 90.00 90.00 90.00
Positions (direct):
1 Te 0.0000 0.0000 0.0000
2 Ru 0.5000 0.5000 0.0000
3 N 0.0000 0.5000 0.5000
4 N 0.5000 0.0000 0.5000
5 F 0.0000 0.0000 0.5000

Results
space group	P4/mmm (123)
E_form (uncorrected)	2111	meV/atom
VASP energy	-4.077	eV per atom
distance to the lowest polymorph of the same formula	163.3	kJ/mol of atoms
DOS at the Fermi energy	4.2	states/eV/f.u.

No. 4
DFT (PBE-GGA) results for crystalline TeRuN2F at its relaxed geometry.

Lattice parameters (Å, degrees): 4.1389 4.1389 4.1778 90.00 90.00 90.00
Positions (direct):
1 Te 0.0000 0.0000 0.0000
2 Ru 0.5000 0.5000 0.5000
3 N 0.0000 0.5000 0.0000
4 N 0.5000 0.0000 0.0000
5 F 0.0000 0.0000 0.5000

Results
space group	P4/mmm (123)
E_form (uncorrected)	1354	meV/atom
VASP energy	-4.833	eV per atom
distance to the lowest polymorph of the same formula	90.4	kJ/mol of atoms
DOS at the Fermi energy	4.0	states/eV/f.u.

No. 5
DFT (PBE-GGA) results for crystalline TeRuN2F at its relaxed geometry.

Lattice parameters (Å, degrees): 3.9770 3.9770 4.1073 90.00 90.00 90.00
Positions (direct):
1 Te 0.0000 0.0000 0.0000
2 Ru 0.5000 0.5000 0.5000
3 N 0.0000 0.5000 0.5000
4 N 0.5000 0.0000 0.5000
5 F 0.5000 0.5000 0.0000

Results
space group	P4/mmm (123)
E_form (uncorrected)	589	meV/atom
VASP energy	-5.599	eV per atom
distance to the lowest polymorph of the same formula	16.5	kJ/mol of atoms
DOS at the Fermi energy	3.7	states/eV/f.u.

No. 6
DFT (PBE-GGA) results for crystalline Te2RuNF at its relaxed geometry.

Lattice parameters (Å, degrees): 5.3841 5.3841 3.6076 90.00 90.00 90.00
Positions (direct):
1 Te 0.0000 0.5000 0.0000
2 Te 0.5000 0.0000 0.0000
3 Ru 0.0000 0.0000 0.0000
4 N 0.0000 0.0000 0.5000
5 F 0.5000 0.5000 0.5000

Results
space group	P4/mmm (123)
E_form (uncorrected)	144	meV/atom
VASP energy	-5.007	eV per atom
distance to the lowest polymorph of the same formula	0.0	kJ/mol of atoms
DOS at the Fermi energy	4.7	states/eV/f.u.

No. 7
DFT (PBE-GGA) results for crystalline Te2RuNF at its relaxed geometry.

Lattice parameters (Å, degrees): 4.8501 4.8501 3.7220 90.00 90.00 90.00
Positions (direct):
1 Te 0.0000 0.5000 0.0000
2 Te 0.5000 0.0000 0.0000
3 Ru 0.0000 0.0000 0.5000
4 N 0.5000 0.5000 0.5000
5 F 0.5000 0.5000 0.0000

Results
space group	P4/mmm (123)
E_form (uncorrected)	1282	meV/atom
VASP energy	-3.869	eV per atom
distance to the lowest polymorph of the same formula	109.8	kJ/mol of atoms
DOS at the Fermi energy	3.3	states/eV/f.u.

No. 8
DFT (PBE-GGA) results for crystalline TeRuNF2 at its relaxed geometry.

Lattice parameters (Å, degrees): 4.5348 4.5348 4.1366 90.00 90.00 90.00
Positions (direct):
1 Te 0.0000 0.0000 0.0000
2 Ru 0.5000 0.5000 0.5000
3 N 0.0000 0.0000 0.5000
4 F 0.0000 0.5000 0.0000
5 F 0.5000 0.0000 0.0000

Results
space group	P4/mmm (123)
E_form (uncorrected)	524	meV/atom
VASP energy	-4.373	eV per atom
distance to the lowest polymorph of the same formula	60.1	kJ/mol of atoms
DOS at the Fermi energy	3.6	states/eV/f.u.